(1)
Below is Zn2InRe after structural relaxation, with properties calculated at the PBE level.

Cell: 4.540 4.540 4.540 Å, 60.00 60.00 60.00°
Atoms (fractional coordinates):
Zn: 0.000 0.000 0.000
Zn: 0.250 0.250 0.250
Re: 0.750 0.750 0.750
In: 0.500 0.500 0.500

Output
SG: F-43m (216)
Electronic total energy (eV/atom): -3.86
Size of the total moment (Bohr magnetons per cell): 0.00



(2)
Below is MnB2C after structural relaxation, with properties calculated at the PBE level.

Cell: 5.099 5.099 4.247 Å, 53.11 53.11 90.00°
Atoms (fractional coordinates):
Mn: 0.000 0.000 0.000
Mn: 0.750 0.250 0.500
C: 0.250 0.750 0.500
C: 0.500 0.500 0.000
B: 0.875 0.779 0.750
B: 0.375 0.471 0.750
B: 0.529 0.125 0.250
B: 0.221 0.625 0.250

Output
SG: I-42d (122)
Electronic total energy (eV/atom): -7.41
Size of the total moment (Bohr magnetons per cell): 0.00



Question: Which of these has the lowest electronic total energy?
Answer: MnB2C